[1]
Material: CuRhN2
Method: DFT, PBE
State: optimized geometry

```
CuRhN2
1.0
-3.2373 -0.0304 1.8951
-2.3023 2.9567 -0.1726
-3.2535 -0.2615 -1.8491
Rh N Cu
1 2 1
direct
0.5000 0.5000 0.5000
0.2500 0.2500 0.2500
0.7500 0.7500 0.7500
0.0000 0.0000 0.0000
```

Computed properties:
The uncorrected formation energy is 1.2511 eV/atom. Its space group is Fm-3m (225). Its magnetization is 0.0 μB/cell. As for the total energy: -5.7735 eV per atom. Its polymorph energy (0 for the lowest one) is 620.1 meV/atom.

=====

[2]
Material: CaGd2Be
Method: DFT, PBE
State: optimized geometry

```
CaGd2Be
1.0
3.5374 0.0000 0.0000
0.0000 3.5374 0.0000
0.0000 0.0000 9.1464
Ca Be Gd
1 1 2
direct
0.5000 0.5000 0.5000
0.5000 0.5000 0.0000
0.0000 0.0000 0.8257
0.0000 0.0000 0.1743
```

Computed properties:
As for the energy of formation from the pure elements: 38 kJ/mol of formula units. Its space group is P4/mmm (123). Its magnetization is 15.1 μB/cell. As for the total energy: -8.3733 eV per atom.

=====

[3]
Material: BMoH
Method: DFT, PBE
State: optimized geometry

```
BMoH
1.0
-0.8335 -2.0892 2.0242
1.0140 1.7968 2.2720
-1.8932 2.0275 1.3130
H B Mo
1 1 1
direct
0.2733 0.8922 0.8922
0.9531 0.2250 0.2250
0.4568 0.5585 0.5585
```

Computed properties:
Its space group is P3m1 (156). Its magnetization is 0.0 μB/cell. As for the total energy: -7.0097 eV per atom.

=====

[4]
Material: CeTh3InFe
Method: DFT, PBE
State: optimized geometry

```
CeTh3InFe
1.0
7.2405 0.2680 -1.2055
3.6296 6.2708 -1.2055
1.5100 0.9083 7.2319
Fe Ce Th In
2 2 6 2
direct
0.9712 0.9712 0.1988
0.0288 0.0288 0.8012
0.2751 0.7249 0.5000
0.7249 0.2751 0.5000
0.6402 0.1076 0.9170
0.2076 0.2076 0.6528
0.1076 0.6402 0.9170
0.7924 0.7924 0.3472
0.8924 0.3598 0.0830
0.3598 0.8924 0.0830
0.3301 0.3301 0.2693
0.6699 0.6699 0.7307
```

Computed properties:
As for the energy of formation from the pure elements: 3 kJ/mol of formula units. Its space group is C2/m (12). Its magnetization is 0.8 μB/cell. As for the total energy: -6.5614 eV per atom.

=====

[5]
Material: PaPRh3
Method: DFT, PBE
State: optimized geometry

```
PaPRh3
1.0
3.7573 -0.0013 1.2979
-0.4488 3.7293 1.3011
0.0372 0.0373 5.9800
Rh P Pa
3 1 1
direct
0.8143 0.6178 0.0768
0.6374 0.9409 0.4307
0.1373 0.4409 0.4307
0.0268 0.8302 0.6517
0.3920 0.1954 0.9212
```

Computed properties:
As for the energy of formation from the pure elements: -438 kJ/mol of formula units. Its space group is I4mm (107). Its magnetization is 0.0 μB/cell. As for the total energy: -8.2995 eV per atom. Its polymorph energy (0 for the lowest one) is 0.0 meV/atom.

=====

[6]
Material: Sr2CaHN
Method: DFT, PBE
State: optimized geometry

```
Sr2CaHN
1.0
-3.9323 0.5762 -2.3376
0.1281 -5.5193 -1.5758
-2.4054 -1.1314 3.7674
Sr Ca N H
2 1 1 1
direct
0.0000 0.0000 0.5000
0.5000 0.0000 0.0000
0.5000 0.5000 0.5000
0.0000 0.5000 0.0000
0.0000 0.0000 0.0000
```

Computed properties:
Its space group is P4/mmm (123). Its magnetization is 0.0 μB/cell. As for the total energy: -2.8368 eV per atom.

=====

[7]
Material: BaScSb
Method: DFT, PBE
State: optimized geometry

```
BaScSb
1.0
-3.0201 3.8026 1.1631
0.1152 -1.7579 -4.6723
-3.6035 -3.2034 1.1165
Sb Ba Sc
1 1 1
direct
0.6667 0.3333 0.4998
0.0000 0.0000 0.0000
0.3333 0.6667 0.5002
```

Computed properties:
The uncorrected formation energy is -0.5783 eV/atom. Its space group is P-6m2 (187). Its magnetization is 0.0 μB/cell. As for the total energy: -4.7038 eV per atom. Its polymorph energy (0 for the lowest one) is 217.4 meV/atom.

=====

[8]
Material: YTmAlZn
Method: DFT, PBE
State: optimized geometry

```
YTmAlZn
1.0
-3.8910 -1.2748 -2.9549
-2.4761 -4.3250 0.8122
-4.7019 0.0896 1.8386
Al Tm Y Zn
1 1 1 1
direct
0.7500 0.7500 0.7500
0.0000 0.0000 0.0000
0.5000 0.5000 0.5000
0.2500 0.2500 0.2500
```

Computed properties:
As for the energy of formation from the pure elements: -149 kJ/mol of formula units. Its space group is F-43m (216). Its magnetization is 0.0 μB/cell. As for the total energy: -4.3729 eV per atom. Its polymorph energy (0 for the lowest one) is 9.0 meV/atom.

=====

[9]
Material: HfAsI3
Method: DFT, PBE
State: optimized geometry

```
HfAsI3
1.0
-4.7134 -2.7002 1.7718
2.4906 -1.0436 5.0353
-2.0560 4.9261 2.0379
I Hf As
3 1 1
direct
0.5000 0.0000 0.0000
0.0000 0.0000 0.5000
0.0000 0.5000 0.0000
0.0000 0.0000 0.0000
0.5000 0.5000 0.5000
```

Computed properties:
The uncorrected formation energy is 0.1340 eV/atom. Its space group is Pm-3m (221). Its magnetization is 3.0 μB/cell. As for the total energy: -3.7166 eV per atom. Its polymorph energy (0 for the lowest one) is 0.0 meV/atom.

=====

[10]
Material: NdB2H6
Method: DFT, PBE
State: optimized geometry

```
NdB2H6
1.0
4.0295 -0.0002 2.3261
1.3430 3.7991 2.3261
-0.0003 -0.0002 4.6528
B Nd H
2 1 6
direct
0.7500 0.7500 0.7500
0.2500 0.2500 0.2500
0.0000 0.0000 0.0000
0.6382 0.6382 0.3618
0.6382 0.3618 0.6382
0.3618 0.6382 0.3618
0.3618 0.3618 0.6382
0.6382 0.3618 0.3618
0.3618 0.6382 0.6382
```

Computed properties:
Its space group is Fm-3m (225). Its magnetization is 0.0 μB/cell. As for the total energy: -2.9798 eV per atom.

=====

[11]
Material: Na6TiAs4
Method: DFT, PBE
State: optimized geometry

```
Na6TiAs4
1.0
7.0366 0.0000 0.0000
0.0000 8.3840 -4.8405
0.0000 0.0000 9.6810
Na Ti As
12 2 8
direct
0.6384 0.9485 0.4742
0.6384 0.5258 0.0515
0.1384 0.4742 0.9485
0.1384 0.4742 0.5258
0.9395 0.8574 0.1426
0.4395 0.1426 0.2852
0.4395 0.1426 0.8574
0.6384 0.5258 0.4742
0.4395 0.7148 0.8574
0.9395 0.8574 0.7148
0.9395 0.2852 0.1426
0.1384 0.0515 0.5258
0.7681 0.3333 0.6667
0.2681 0.6667 0.3333
0.3558 0.3813 0.1907
0.8558 0.1907 0.3813
0.4230 0.3333 0.6667
0.3558 0.8093 0.1907
0.8558 0.6187 0.8093
0.9230 0.6667 0.3333
0.3558 0.8093 0.6187
0.8558 0.1907 0.8093
```

Computed properties:
As for the energy of formation from the pure elements: -478 kJ/mol of formula units. Its space group is P6_3mc (186). Its magnetization is 0.0 μB/cell. As for the total energy: -3.5782 eV per atom.

=====

[12]
Material: Er7TmSc4
Method: DFT, PBE
State: optimized geometry

```
Er7TmSc4
1.0
-6.5917 -1.1598 -1.6943
-1.2424 -1.2535 5.7153
-8.7462 6.3604 1.5808
Er Sc Tm
7 4 1
direct
0.2581 0.4969 0.9957
0.5000 0.0000 0.0000
0.6637 0.2227 0.3364
0.0841 0.2827 0.6609
0.7419 0.5031 0.0043
0.9159 0.7173 0.3391
0.3363 0.7773 0.6636
0.8395 0.7827 0.6605
0.4083 0.7240 0.3377
0.5917 0.2760 0.6623
0.1605 0.2173 0.3395
0.0000 0.0000 0.0000
```

Computed properties:
As for the energy of formation from the pure elements: 21 kJ/mol of formula units. Its space group is P-1 (2). Its magnetization is 0.0 μB/cell. As for the total energy: -5.1266 eV per atom. Its polymorph energy (0 for the lowest one) is 0.0 meV/atom.

=====

[13]
Material: TcSb2Pd
Method: DFT, PBE
State: optimized geometry

```
TcSb2Pd
1.0
-2.1105 -0.5507 2.3127
-2.7579 -1.4310 -0.6726
2.3627 -9.1060 2.1726
Tc Sb Pd
1 2 1
direct
0.0000 0.0000 0.0000
0.9082 0.9082 0.2754
0.0918 0.0918 0.7246
0.5000 0.5000 0.5000
```

Computed properties:
The uncorrected formation energy is 0.4502 eV/atom. Its space group is R-3m (166). Its magnetization is 1.1 μB/cell. As for the total energy: -5.5007 eV per atom. Its polymorph energy (0 for the lowest one) is 310.2 meV/atom.

=====

[14]
Material: SmTlBiAu
Method: DFT, PBE
State: optimized geometry

```
SmTlBiAu
1.0
5.4165 0.0000 0.0000
2.7082 4.6908 0.0000
2.7082 1.5636 4.4225
Tl Bi Sm Au
1 1 1 1
direct
0.7500 0.7500 0.7500
0.5000 0.5000 0.5000
0.2500 0.2500 0.2500
0.0000 0.0000 0.0000
```

Computed properties:
As for the energy of formation from the pure elements: -134 kJ/mol of formula units. Its space group is F-43m (216). Its magnetization is 0.0 μB/cell. As for the total energy: -3.9069 eV per atom.

=====

[15]
Material: Rb2BaNi
Method: DFT, PBE
State: optimized geometry

```
Rb2BaNi
1.0
-8.6708 6.2933 5.5518
-1.8791 -9.2361 7.5349
-3.2703 -0.3563 8.4102
Rb Ba Ni
4 2 2
direct
0.3750 0.5024 0.7500
0.4976 0.1250 0.2500
0.2524 0.6250 0.2500
0.8750 0.7476 0.7500
0.0000 0.0000 0.0000
0.7500 0.2500 0.5000
0.5000 0.5000 0.0000
0.2500 0.7500 0.5000
```

Computed properties:
As for the energy of formation from the pure elements: 184 kJ/mol of formula units. Its space group is I-42d (122). Its magnetization is 0.0 μB/cell. As for the total energy: -1.9321 eV per atom. Its polymorph energy (0 for the lowest one) is 0.0 meV/atom.

=====

[16]
Material: As2PIr
Method: DFT, PBE
State: optimized geometry

```
As2PIr
1.0
6.4062 0.0263 -0.0100
4.4131 4.6438 0.0100
-5.4662 -2.2040 2.5106
As Ir P
2 1 1
direct
0.5922 0.5922 0.0000
0.9078 0.9078 0.0000
0.7500 0.2500 0.5000
0.2500 0.7500 0.5000
```

Computed properties:
As for the energy of formation from the pure elements: 59 kJ/mol of formula units. Its space group is Immm (71). Its magnetization is 0.0 μB/cell. As for the total energy: -5.7384 eV per atom.

=====

[17]
Material: CaHg2Br
Method: DFT, PBE
State: optimized geometry

```
CaHg2Br
1.0
-1.5504 0.3460 3.3712
1.4845 -3.2633 1.0176
6.9908 4.0529 2.7991
Hg Br Ca
2 1 1
direct
0.5000 0.5000 0.2058
0.0000 0.0000 0.9815
0.0000 0.0000 0.5679
0.5000 0.5000 0.7448
```

Computed properties:
The uncorrected formation energy is -0.7462 eV/atom. Its space group is P4mm (99). Its magnetization is 0.0 μB/cell. As for the total energy: -1.8157 eV per atom. Its polymorph energy (0 for the lowest one) is 0.0 meV/atom.

=====

[18]
Material: Na3ScRe
Method: DFT, PBE
State: optimized geometry

```
Na3ScRe
1.0
-4.2144 3.1037 1.0896
-1.9546 -3.7872 3.2276
2.6457 2.1459 4.1202
Sc Na Re
1 3 1
direct
0.5000 0.5000 0.5000
0.0000 0.5000 0.0000
0.0000 0.0000 0.5000
0.5000 0.0000 0.0000
0.0000 0.0000 0.0000
```

Computed properties:
As for the energy of formation from the pure elements: 882 kJ/mol of formula units. Its space group is Pm-3m (221). Its magnetization is 0.0 μB/cell. As for the total energy: -2.7195 eV per atom.

=====

[19]
Material: RbSc2Fe2
Method: DFT, PBE
State: optimized geometry

```
RbSc2Fe2
1.0
8.4613 0.0000 0.0000
0.0000 8.4613 0.0000
0.0000 0.0000 3.1422
Sc Fe Rb
4 4 2
direct
0.8683 0.6317 0.0000
0.1317 0.3683 0.0000
0.6317 0.1317 0.0000
0.3683 0.8683 0.0000
0.1226 0.6226 0.5000
0.6226 0.8774 0.5000
0.3774 0.1226 0.5000
0.8774 0.3774 0.5000
0.5000 0.5000 0.0000
0.0000 0.0000 0.0000
```

Computed properties:
As for the energy of formation from the pure elements: 277 kJ/mol of formula units. Its space group is P4/mbm (127). Its magnetization is 5.9 μB/cell. As for the total energy: -5.5367 eV per atom. Its polymorph energy (0 for the lowest one) is 157.4 meV/atom.

=====

[20]
Material: PmHf2NpO8
Method: DFT, PBE
State: optimized geometry

```
PmHf2NpO8
1.0
-0.7740 4.4321 -2.2820
-2.5147 1.7231 4.0174
5.7603 2.3447 2.6000
Pm O Hf Np
1 8 2 1
direct
0.0000 0.0000 0.5000
0.2037 0.7946 0.7712
0.3122 0.3108 0.0000
0.2037 0.7946 0.2288
0.7963 0.2054 0.2288
0.7963 0.2054 0.7712
0.6878 0.6892 0.0000
0.3247 0.3229 0.5000
0.6753 0.6771 0.5000
0.5000 0.5000 0.7489
0.5000 0.5000 0.2511
0.0000 0.0000 0.0000
```

Computed properties:
The uncorrected formation energy is -3.2833 eV/atom. Its space group is P2/m (10). Its magnetization is 2.0 μB/cell. As for the total energy: -9.7219 eV per atom.